(1)
# Pm6C3SeS2

A relaxed Pm6C3SeS2 crystal (PBE, Alexandria).

Results
volume = 21.529 Å³ per atom
formation energy (no corrections) = -1104 meV/atom

Cell: 3.868 8.009 8.893 Å, 105.70 102.56 90.00°
Sites, in units of the cell vectors:
Pm1 0.323 0.935 0.647
S1 0.167 0.333 0.333
Pm2 0.992 0.275 0.984
C1 0.832 0.168 0.665
S2 0.833 0.667 0.667
C2 0.168 0.832 0.335
Pm3 0.340 0.398 0.680
Se1 0.500 0.000 0.000
C3 0.500 0.500 0.000
Pm4 0.008 0.725 0.016
Pm5 0.677 0.065 0.353
Pm6 0.660 0.602 0.320

(2)
# Pm8CSe4S3

A relaxed Pm8CSe4S3 crystal (PBE, Alexandria).

Results
volume = 24.227 Å³ per atom
formation energy (no corrections) = -1751 meV/atom

Cell: 8.111 8.259 8.111 Å, 119.41 120.00 90.00°
Sites, in units of the cell vectors:
Pm1 0.773 0.283 0.010
Pm2 0.238 0.283 0.010
Pm3 0.257 0.271 0.514
Se1 0.500 0.000 0.000
S1 0.500 0.500 0.500
C1 0.000 0.500 0.000
Se2 0.000 0.000 0.500
Pm4 0.743 0.729 0.486
S2 0.500 0.500 0.000
Se3 0.500 0.000 0.500
Pm5 0.773 0.283 0.545
Se4 0.000 0.000 0.000
Pm6 0.227 0.717 0.455
Pm7 0.227 0.717 0.990
S3 0.000 0.500 0.500
Pm8 0.762 0.717 0.990

(3)
# Pm6C2SeS3

A relaxed Pm6C2SeS3 crystal (PBE, Alexandria).

Results
volume = 22.400 Å³ per atom
formation energy (no corrections) = -1432 meV/atom

Cell: 3.925 8.110 8.900 Å, 103.04 102.74 90.00°
Sites, in units of the cell vectors:
C1 0.832 0.665 0.663
Pm1 0.983 0.730 0.966
Pm2 0.017 0.270 0.034
S1 0.162 0.835 0.324
Pm3 0.675 0.566 0.350
Pm4 0.325 0.434 0.650
Pm5 0.327 0.879 0.653
Pm6 0.673 0.121 0.347
S2 0.838 0.165 0.676
Se1 0.500 0.000 0.000
C2 0.168 0.335 0.337
S3 0.500 0.500 0.000

(4)
# Pm8CSe3S4

A relaxed Pm8CSe3S4 crystal (PBE, Alexandria).

Results
volume = 23.948 Å³ per atom
formation energy (no corrections) = -1748 meV/atom

Cell: 8.190 8.116 8.190 Å, 120.30 120.00 90.00°
Sites, in units of the cell vectors:
Se1 0.500 0.500 0.000
Pm1 0.756 0.769 0.513
Se2 0.000 0.500 0.500
Pm2 0.230 0.739 0.460
C1 0.000 0.500 0.000
S1 0.500 0.000 0.500
Pm3 0.770 0.261 0.991
S2 0.000 0.000 0.500
Pm4 0.770 0.261 0.540
S3 0.500 0.000 0.000
Pm5 0.244 0.231 0.487
Pm6 0.780 0.739 0.009
Pm7 0.230 0.739 0.009
Se3 0.500 0.500 0.500
S4 0.000 0.000 0.000
Pm8 0.220 0.261 0.991

(5)
# PmSmCS

A relaxed PmSmCS crystal (PBE, Alexandria).

Results
volume = 20.901 Å³ per atom
formation energy (no corrections) = -1154 meV/atom

Cell: 3.840 3.840 6.914 Å, 73.88 73.88 60.00°
Sites, in units of the cell vectors:
Pm1 0.432 0.432 0.703
Sm1 0.955 0.955 0.134
S1 0.195 0.195 0.416
C1 0.694 0.694 0.919

(6)
# TbPmCS

A relaxed TbPmCS crystal (PBE, Alexandria).

Results
volume = 20.160 Å³ per atom
formation energy (no corrections) = -1008 meV/atom

Cell: 3.868 3.868 5.389 Å, 90.00 90.00 90.00°
Sites, in units of the cell vectors:
S1 0.000 0.000 0.500
C1 0.500 0.500 0.000
Pm1 0.500 0.500 0.500
Tb1 0.000 0.000 0.000

(7)
# Pm8Te3CS3

A relaxed Pm8Te3CS3 crystal (PBE, Alexandria).

Results
volume = 28.211 Å³ per atom
formation energy (no corrections) = -1415 meV/atom

Cell: 8.223 8.224 8.644 Å, 118.41 90.00 119.98°
Sites, in units of the cell vectors:
Pm1 0.783 0.022 0.304
S1 0.500 0.500 0.500
Pm2 0.217 0.978 0.696
Pm3 0.783 0.566 0.304
S2 0.500 0.000 0.500
Pm4 0.734 0.469 0.704
Te1 0.000 0.500 0.000
C1 0.000 0.000 0.500
Pm5 0.239 0.022 0.304
Te2 0.000 0.000 0.000
Te3 0.500 0.500 0.000
Pm6 0.761 0.978 0.696
Pm7 0.266 0.531 0.296
Pm8 0.217 0.434 0.696
S3 0.000 0.500 0.500

(8)
# Pm6Te3CS2

A relaxed Pm6Te3CS2 crystal (PBE, Alexandria).

Results
volume = 26.377 Å³ per atom
formation energy (no corrections) = -1462 meV/atom

Cell: 7.140 7.140 7.546 Å, 99.05 99.05 119.93°
Sites, in units of the cell vectors:
S1 0.334 0.666 0.000
Pm1 0.933 0.625 0.800
C1 0.000 0.000 0.000
Te1 0.173 0.827 0.500
Te2 0.500 0.500 0.500
Pm2 0.240 0.240 0.794
Pm3 0.067 0.375 0.200
Te3 0.827 0.173 0.500
Pm4 0.625 0.933 0.800
Pm5 0.760 0.760 0.206
S2 0.666 0.334 0.000
Pm6 0.375 0.067 0.200

(9)
# Pm6TeC3S2

A relaxed Pm6TeC3S2 crystal (PBE, Alexandria).

Results
volume = 22.341 Å³ per atom
formation energy (no corrections) = -985 meV/atom

Cell: 3.895 8.146 9.037 Å, 106.38 102.45 90.00°
Sites, in units of the cell vectors:
Pm1 0.320 0.933 0.639
Pm2 0.680 0.067 0.361
C1 0.831 0.171 0.663
Pm3 0.339 0.398 0.678
Pm4 0.661 0.602 0.322
Pm5 0.010 0.716 0.020
C2 0.500 0.500 0.000
C3 0.169 0.829 0.337
S1 0.167 0.333 0.334
Te1 0.500 0.000 0.000
Pm6 0.990 0.284 0.980
S2 0.833 0.667 0.666

(10)
# Pm6Te3C2S

A relaxed Pm6Te3C2S crystal (PBE, Alexandria).

Results
volume = 25.507 Å³ per atom
formation energy (no corrections) = -1138 meV/atom

Cell: 4.026 8.593 9.468 Å, 106.62 102.28 90.00°
Sites, in units of the cell vectors:
Pm1 0.025 0.246 0.050
C1 0.832 0.668 0.663
Pm2 0.975 0.754 0.950
Te1 0.500 0.500 0.000
C2 0.168 0.332 0.337
Pm3 0.680 0.552 0.360
Pm4 0.332 0.870 0.663
Te2 0.160 0.832 0.319
Pm5 0.320 0.448 0.640
Pm6 0.668 0.130 0.337
S1 0.500 0.000 0.000
Te3 0.840 0.168 0.681

(11)
# Pm8Te4CS3

A relaxed Pm8Te4CS3 crystal (PBE, Alexandria).

Results
volume = 26.626 Å³ per atom
formation energy (no corrections) = -1530 meV/atom

Cell: 8.283 8.619 8.283 Å, 118.72 120.00 90.00°
Sites, in units of the cell vectors:
S1 0.500 0.500 0.500
Pm1 0.758 0.700 0.979
Pm2 0.736 0.709 0.473
Pm3 0.221 0.700 0.979
C1 0.000 0.500 0.000
Pm4 0.779 0.300 0.557
S2 0.000 0.500 0.500
Te1 0.000 0.000 0.000
Pm5 0.242 0.300 0.021
Pm6 0.264 0.291 0.527
S3 0.500 0.500 0.000
Pm7 0.779 0.300 0.021
Pm8 0.221 0.700 0.443
Te2 0.500 0.000 0.500
Te3 0.000 0.000 0.500
Te4 0.500 0.000 0.000

(12)
# PmThCS

A relaxed PmThCS crystal (PBE, Alexandria).

Results
volume = 21.352 Å³ per atom
formation energy (no corrections) = -1196 meV/atom

Cell: 3.860 3.860 6.985 Å, 73.96 73.96 60.00°
Sites, in units of the cell vectors:
C1 0.690 0.690 0.930
Th1 0.958 0.958 0.127
Pm1 0.434 0.434 0.698
S1 0.195 0.195 0.416

(13)
# Pm8Tl3CS3

A relaxed Pm8Tl3CS3 crystal (PBE, Alexandria).

Results
volume = 28.853 Å³ per atom
formation energy (no corrections) = -959 meV/atom

Cell: 7.922 7.924 9.185 Å, 115.57 89.99 120.02°
Sites, in units of the cell vectors:
S1 0.500 0.000 0.500
Pm1 0.785 0.025 0.310
S2 0.500 0.500 0.500
Pm2 0.735 0.471 0.706
Pm3 0.265 0.529 0.294
Tl1 0.500 0.500 0.000
Pm4 0.215 0.430 0.690
Pm5 0.215 0.975 0.690
Pm6 0.240 0.025 0.310
Tl2 0.000 0.500 0.000
Tl3 0.000 0.000 0.000
Pm7 0.785 0.570 0.310
Pm8 0.760 0.975 0.690
S3 0.000 0.500 0.500
C1 0.000 0.000 0.500

(14)
# PmTmCS

A relaxed PmTmCS crystal (PBE, Alexandria).

Results
volume = 19.578 Å³ per atom
formation energy (no corrections) = -993 meV/atom

Cell: 3.841 3.841 5.307 Å, 90.00 90.00 90.00°
Sites, in units of the cell vectors:
Tm1 0.500 0.500 0.500
Pm1 0.000 0.000 0.000
C1 0.000 0.000 0.500
S1 0.500 0.500 0.000

(15)
# PmSb2C

A relaxed PmSb2C crystal (PBE, Alexandria).

Results
volume = 22.898 Å³ per atom
formation energy (no corrections) = 619 meV/atom

Cell: 5.446 4.101 4.101 Å, 90.00 90.00 90.00°
Sites, in units of the cell vectors:
C1 0.500 0.500 0.500
Sb1 0.000 0.000 0.500
Sb2 0.000 0.500 0.000
Pm1 0.500 0.000 0.000

(16)
# Pm8SbC2

A relaxed Pm8SbC2 crystal (PBE, Alexandria).

Results
volume = 26.179 Å³ per atom
formation energy (no corrections) = -14 meV/atom

Cell: 5.083 7.929 7.929 Å, 114.26 94.73 94.73°
Sites, in units of the cell vectors:
Pm1 0.500 0.258 0.742
Pm2 0.695 0.385 0.385
Pm3 0.075 0.089 0.361
Pm4 0.500 0.742 0.258
C1 0.000 0.324 0.676
C2 0.000 0.676 0.324
Pm5 0.305 0.615 0.615
Pm6 0.925 0.911 0.639
Pm7 0.075 0.361 0.089
Sb1 0.500 0.000 0.000
Pm8 0.925 0.639 0.911

(17)
# Pm6Sb3C2

A relaxed Pm6Sb3C2 crystal (PBE, Alexandria).

Results
volume = 28.042 Å³ per atom
formation energy (no corrections) = -672 meV/atom

Cell: 4.894 4.894 13.336 Å, 100.57 100.57 90.00°
Sites, in units of the cell vectors:
Pm1 0.416 0.916 0.832
Pm2 0.916 0.416 0.832
Sb1 0.000 0.000 0.000
Pm3 0.694 0.694 0.388
Pm4 0.084 0.584 0.168
Sb2 0.822 0.822 0.644
Sb3 0.178 0.178 0.356
C1 0.397 0.397 0.793
C2 0.603 0.603 0.207
Pm5 0.306 0.306 0.612
Pm6 0.584 0.084 0.168

(18)
# Pm8Sb5C

A relaxed Pm8Sb5C crystal (PBE, Alexandria).

Results
volume = 28.905 Å³ per atom
formation energy (no corrections) = -817 meV/atom

Cell: 8.075 8.075 8.075 Å, 110.83 106.80 110.83°
Sites, in units of the cell vectors:
Pm1 0.754 0.242 0.360
Pm2 0.147 0.708 0.979
Sb1 0.875 0.873 0.238
C1 0.250 0.500 0.750
Sb2 0.762 0.638 0.636
Pm3 0.488 0.606 0.246
Pm4 0.021 0.168 0.729
Sb3 0.364 0.127 0.002
Pm5 0.560 0.832 0.853
Pm6 0.640 0.394 0.883
Pm7 0.271 0.292 0.440
Pm8 0.117 0.758 0.512
Sb4 0.998 0.362 0.125
Sb5 0.500 0.000 0.500

(19)
# Pm4SbC2

A relaxed Pm4SbC2 crystal (PBE, Alexandria).

Results
volume = 23.759 Å³ per atom
formation energy (no corrections) = -406 meV/atom

Cell: 3.987 6.680 13.087 Å, 90.00 90.00 107.36°
Sites, in units of the cell vectors:
Pm1 0.500 0.000 0.000
C1 0.138 0.276 0.442
Pm2 0.500 0.000 0.500
Pm3 0.236 0.471 0.896
Pm4 0.764 0.529 0.104
Pm5 0.080 0.161 0.250
C2 0.138 0.276 0.058
C3 0.862 0.724 0.558
Pm6 0.920 0.839 0.750
Sb1 0.394 0.788 0.250
Pm7 0.236 0.471 0.604
Pm8 0.764 0.529 0.396
C4 0.862 0.724 0.942
Sb2 0.606 0.212 0.750

(20)
# Pm7Sb4C

A relaxed Pm7Sb4C crystal (PBE, Alexandria).

Results
volume = 31.332 Å³ per atom
formation energy (no corrections) = -608 meV/atom

Cell: 5.114 9.520 8.467 Å, 79.24 72.42 74.42°
Sites, in units of the cell vectors:
Sb1 0.718 0.657 0.906
Sb2 0.413 0.781 0.393
Pm1 0.228 0.132 0.411
Pm2 0.772 0.868 0.589
Pm3 0.500 0.000 0.000
C1 0.000 0.000 0.000
Pm4 0.361 0.538 0.739
Sb3 0.587 0.219 0.607
Pm5 0.056 0.758 0.130
Sb4 0.282 0.343 0.094
Pm6 0.639 0.462 0.261
Pm7 0.944 0.242 0.870